[1]
Below is Cd2CuNi2 at its PBEsol-relaxed geometry, with properties calculated at the meta-GGA SCAN level.

Cell and atoms, written as POSCAR:
```
Cd2CuNi2
1.0
-3.622 0.889 1.227
-2.268 -1.865 -5.342
-0.627 -5.637 2.234
Cd Ni Cu
4 4 2
direct
0.500 0.328 0.172
0.500 0.828 0.328
0.500 0.172 0.672
0.500 0.672 0.828
0.000 0.868 0.632
0.000 0.368 0.868
0.000 0.632 0.132
0.000 0.132 0.368
0.000 0.500 0.500
0.000 0.000 0.000
```

**Space group**: P4/mbm
**Crystal system**: tetragonal
**Fermi-level density of states**: 2.40 states/eV/cell
**VASP energy**: -21.5473 eV per atom

***

[2]
Below is LiZnSb2 at its PBEsol-relaxed geometry, with properties calculated at the meta-GGA SCAN level.

Cell and atoms, written as POSCAR:
```
LiZnSb2
1.0
-1.970 -3.106 1.841
3.121 -0.410 2.649
-2.764 4.969 0.831
Zn Li Sb
1 1 2
direct
0.500 0.500 0.000
0.250 0.750 0.500
0.750 0.250 0.500
0.000 0.000 0.000
```

**Space group**: I-4m2
**Crystal system**: tetragonal
**Uncorrected formation energy**: -0.06 eV/atom
**Fermi-level density of states**: 1.40 states/eV/cell

***

[3]
Below is Ca3CoCl at its PBEsol-relaxed geometry, with properties calculated at the meta-GGA SCAN level.

Cell and atoms, written as POSCAR:
```
Ca3CoCl
1.0
5.263 0.000 0.000
0.000 5.263 0.000
0.000 0.000 5.263
Ca Cl Co
3 1 1
direct
0.000 0.000 0.500
0.500 0.000 0.000
0.000 0.500 0.000
0.500 0.500 0.500
0.000 0.000 0.000
```

**Space group**: Pm-3m
**Crystal system**: cubic
**Uncorrected formation energy**: -0.12 eV/atom
**Fermi-level density of states**: 3.62 states/eV/cell

***

[4]
Below is Li2SiSbAu at its PBEsol-relaxed geometry, with properties calculated at the meta-GGA SCAN level.

Cell and atoms, written as POSCAR:
```
Li2SiSbAu
1.0
-3.281 -3.216 0.100
2.693 -2.834 -2.744
1.982 -1.901 3.908
Sb Li Au Si
1 2 1 1
direct
0.500 0.500 0.500
0.000 0.000 0.500
0.000 0.500 0.000
0.000 0.000 0.000
0.500 0.000 0.000
```

**Space group**: P4/mmm
**Crystal system**: tetragonal
**Uncorrected formation energy**: -0.11 eV/atom
**Fermi-level density of states**: 1.71 states/eV/cell

***

[5]
Below is SrBr2O6 at its PBEsol-relaxed geometry, with properties calculated at the meta-GGA SCAN level.

Cell and atoms, written as POSCAR:
```
SrBr2O6
1.0
6.976 0.054 0.000
-2.937 6.328 0.000
-1.976 -3.123 6.388
O Br Sr
12 4 2
direct
0.231 0.982 0.760
0.554 0.391 0.629
0.796 0.868 0.570
0.959 0.623 0.393
0.868 0.796 0.070
0.456 0.232 0.233
0.982 0.231 0.260
0.623 0.959 0.893
0.394 0.950 0.410
0.391 0.554 0.129
0.950 0.394 0.910
0.232 0.456 0.733
0.217 0.587 0.949
0.587 0.217 0.449
0.026 0.899 0.525
0.899 0.026 0.025
0.619 0.371 0.996
0.371 0.619 0.496
```

**Space group**: Cc
**Crystal system**: monoclinic
**Uncorrected formation energy**: -0.78 eV/atom
**Fermi-level density of states**: 0.00 states/eV/cell

***

[6]
Below is TlTe2W at its PBEsol-relaxed geometry, with properties calculated at the meta-GGA SCAN level.

Cell and atoms, written as POSCAR:
```
TlTe2W
1.0
3.595 0.000 0.000
0.000 4.451 0.000
-1.797 0.000 7.764
W Te Tl
1 2 1
direct
0.193 0.500 0.387
0.275 0.000 0.551
0.570 0.500 0.140
0.960 0.000 0.920
```

**Space group**: Amm2
**Crystal system**: orthorhombic
**Uncorrected formation energy**: 0.55 eV/atom
**Fermi-level density of states**: 3.03 states/eV/cell
**Energy above the most stable polymorph in this dataset**: 48 meV per atom

***

[7]
Below is KWO2 at its PBEsol-relaxed geometry, with properties calculated at the meta-GGA SCAN level.

Cell and atoms, written as POSCAR:
```
KWO2
1.0
3.450 0.000 0.000
1.725 2.988 0.000
1.725 0.996 6.278
O K W
2 1 1
direct
0.866 0.866 0.403
0.134 0.134 0.597
0.000 0.000 0.000
0.500 0.500 0.500
```

**Space group**: R-3m
**Crystal system**: trigonal
**Uncorrected formation energy**: -1.10 eV/atom
**Fermi-level density of states**: 1.73 states/eV/cell

***

[8]
Below is Sr8CaCu4Re3O24 at its PBEsol-relaxed geometry, with properties calculated at the meta-GGA SCAN level.

Cell and atoms, written as POSCAR:
```
Sr8CaCu4Re3O24
1.0
-7.885 -0.324 -1.021
0.255 -7.934 0.551
-1.041 0.513 7.873
O Sr Ca Cu Re
24 8 1 4 3
direct
0.000 0.500 0.238
0.500 0.500 0.753
0.500 0.762 0.000
0.247 0.500 0.500
0.731 0.000 0.000
0.500 0.753 0.500
0.000 0.000 0.269
0.762 0.500 0.000
0.000 0.238 0.500
0.000 0.731 0.000
0.500 0.000 0.238
0.000 0.500 0.762
0.238 0.500 0.000
0.238 0.000 0.500
0.500 0.238 0.000
0.500 0.247 0.500
0.753 0.500 0.500
0.500 0.000 0.762
0.269 0.000 0.000
0.000 0.269 0.000
0.000 0.000 0.731
0.000 0.762 0.500
0.762 0.000 0.500
0.500 0.500 0.247
0.730 0.730 0.730
0.270 0.270 0.730
0.730 0.270 0.270
0.270 0.730 0.730
0.730 0.270 0.730
0.270 0.270 0.270
0.270 0.730 0.270
0.730 0.730 0.270
0.000 0.000 0.000
0.500 0.500 0.500
0.500 0.500 0.000
0.500 0.000 0.500
0.000 0.500 0.500
0.500 0.000 0.000
0.000 0.000 0.500
0.000 0.500 0.000
```

**Space group**: Pm-3m
**Crystal system**: cubic
**Uncorrected formation energy**: -2.23 eV/atom
**Fermi-level density of states**: 0.30 states/eV/cell

***

[9]
Below is SnTeSI2 at its PBEsol-relaxed geometry, with properties calculated at the meta-GGA SCAN level.

Cell and atoms, written as POSCAR:
```
SnTeSI2
1.0
5.467 0.000 0.000
0.000 5.324 0.000
0.000 0.000 5.324
Sn I Te S
1 2 1 1
direct
0.500 0.500 0.500
0.000 0.000 0.500
0.000 0.500 0.000
0.500 0.000 0.000
0.000 0.000 0.000
```

**Space group**: P4/mmm
**Crystal system**: tetragonal
**Uncorrected formation energy**: 0.33 eV/atom
**Fermi-level density of states**: 2.53 states/eV/cell

***

[10]
Below is TcRuSe at its PBEsol-relaxed geometry, with properties calculated at the meta-GGA SCAN level.

Cell and atoms, written as POSCAR:
```
TcRuSe
1.0
2.911 0.000 0.000
0.000 4.127 0.000
0.000 -2.064 3.574
Ru Se Tc
1 1 1
direct
0.925 0.000 0.000
0.651 0.333 0.667
0.424 0.667 0.333
```

**Space group**: P3m1
**Crystal system**: trigonal
**Uncorrected formation energy**: 0.29 eV/atom
**Fermi-level density of states**: 2.93 states/eV/cell
**Energy above the most stable polymorph in this dataset**: 87 meV per atom

***

[11]
Below is ZrCuNi at its PBEsol-relaxed geometry, with properties calculated at the meta-GGA SCAN level.

Cell and atoms, written as POSCAR:
```
ZrCuNi
1.0
-2.114 -2.490 2.638
-0.473 -4.076 -0.887
2.048 -2.890 2.254
Ni Cu Zr
1 1 1
direct
0.500 0.500 0.500
0.000 0.000 0.000
0.250 0.250 0.250
```

**Space group**: F-43m
**Crystal system**: cubic
**Fermi-level density of states**: 2.49 states/eV/cell
**Energy above the most stable polymorph in this dataset**: 715 meV per atom

***

[12]
Below is TaAgW2 at its PBEsol-relaxed geometry, with properties calculated at the meta-GGA SCAN level.

Cell and atoms, written as POSCAR:
```
TaAgW2
1.0
-2.676 -0.296 0.054
0.492 -4.483 -0.230
1.148 -0.148 5.345
Ag W Ta
1 2 1
direct
0.518 0.000 0.503
0.991 0.000 0.009
0.758 0.500 0.233
0.233 0.500 0.755
```

**Space group**: Pm
**Crystal system**: monoclinic
**Fermi-level density of states**: 2.98 states/eV/cell
**Energy above the most stable polymorph in this dataset**: 0 meV per atom

***

[13]
Below is TaCuReSe2 at its PBEsol-relaxed geometry, with properties calculated at the meta-GGA SCAN level.

Cell and atoms, written as POSCAR:
```
TaCuReSe2
1.0
4.800 0.000 0.000
0.000 4.881 0.000
0.000 0.000 4.881
Se Cu Ta Re
2 1 1 1
direct
0.000 0.000 0.500
0.000 0.500 0.000
0.500 0.000 0.000
0.000 0.000 0.000
0.500 0.500 0.500
```

**Space group**: P4/mmm
**Crystal system**: tetragonal
**Uncorrected formation energy**: 1.42 eV/atom
**Fermi-level density of states**: 2.67 states/eV/cell

***

[14]
Below is AgTeI2F at its PBEsol-relaxed geometry, with properties calculated at the meta-GGA SCAN level.

Cell and atoms, written as POSCAR:
```
AgTeI2F
1.0
4.171 0.000 0.000
0.000 5.773 0.000
0.000 0.000 5.773
F Te I Ag
1 1 2 1
direct
0.000 0.000 0.000
0.500 0.000 0.000
0.000 0.000 0.500
0.000 0.500 0.000
0.500 0.500 0.500
```

**Space group**: P4/mmm
**Crystal system**: tetragonal
**Uncorrected formation energy**: 0.03 eV/atom
**Fermi-level density of states**: 3.10 states/eV/cell

***

[15]
Below is Ga2ReHPt at its PBEsol-relaxed geometry, with properties calculated at the meta-GGA SCAN level.

Cell and atoms, written as POSCAR:
```
Ga2ReHPt
1.0
-2.535 1.487 -1.691
-1.908 -3.757 -0.443
-2.068 0.620 3.646
Re Ga Pt H
1 2 1 1
direct
0.500 0.500 0.500
0.000 0.500 0.000
0.000 0.000 0.500
0.500 0.000 0.000
0.000 0.000 0.000
```

**Space group**: P4/mmm
**Crystal system**: tetragonal
**Fermi-level density of states**: 1.93 states/eV/cell
**VASP energy**: -35.4102 eV per atom

***

[16]
Below is Sb2OsPt at its PBEsol-relaxed geometry, with properties calculated at the meta-GGA SCAN level.

Cell and atoms, written as POSCAR:
```
Sb2OsPt
1.0
2.998 -0.035 0.000
-1.409 2.647 0.000
0.000 0.000 10.087
Sb Pt Os
2 1 1
direct
0.500 0.500 0.703
0.000 0.000 0.044
0.500 0.500 0.267
0.000 0.000 0.486
```

**Space group**: Cmm2
**Crystal system**: orthorhombic
**Uncorrected formation energy**: 0.61 eV/atom
**Fermi-level density of states**: 3.31 states/eV/cell
**Energy above the most stable polymorph in this dataset**: 336 meV per atom

***

[17]
Below is CoReCl2 at its PBEsol-relaxed geometry, with properties calculated at the meta-GGA SCAN level.

Cell and atoms, written as POSCAR:
```
CoReCl2
1.0
-2.676 0.650 1.098
-0.418 0.084 2.934
0.804 7.726 1.392
Re Cl Co
1 2 1
direct
0.000 0.000 0.000
0.902 0.902 0.295
0.098 0.098 0.705
0.500 0.500 0.500
```

**Space group**: R-3m
**Crystal system**: trigonal
**Uncorrected formation energy**: 0.30 eV/atom
**Fermi-level density of states**: 2.82 states/eV/cell
**Energy above the most stable polymorph in this dataset**: 0 meV per atom

***

[18]
Below is FeRh2Br at its PBEsol-relaxed geometry, with properties calculated at the meta-GGA SCAN level.

Cell and atoms, written as POSCAR:
```
FeRh2Br
1.0
2.922 0.000 0.000
0.000 4.381 0.000
-1.461 -2.191 4.466
Rh Br Fe
2 1 1
direct
0.766 0.266 0.532
0.992 0.992 0.985
0.503 0.503 0.006
0.239 0.739 0.477
```

**Space group**: Imm2
**Crystal system**: orthorhombic
**Uncorrected formation energy**: 0.51 eV/atom
**Fermi-level density of states**: 2.58 states/eV/cell

***

[19]
Below is Sc2ZnNi at its PBEsol-relaxed geometry, with properties calculated at the meta-GGA SCAN level.

Cell and atoms, written as POSCAR:
```
Sc2ZnNi
1.0
-0.024 2.842 1.388
-1.293 -1.276 2.590
6.231 -1.182 2.528
Sc Ni Zn
2 1 1
direct
0.500 0.500 0.709
0.000 0.000 0.058
0.500 0.500 0.277
0.000 0.000 0.456
```

**Space group**: P4mm
**Crystal system**: tetragonal
**Fermi-level density of states**: 3.64 states/eV/cell
**VASP energy**: -14.8152 eV per atom

***

[20]
Below is KNb3Cd at its PBEsol-relaxed geometry, with properties calculated at the meta-GGA SCAN level.

Cell and atoms, written as POSCAR:
```
KNb3Cd
1.0
4.587 0.000 0.000
0.000 4.587 0.000
0.000 0.000 4.587
Nb Cd K
3 1 1
direct
0.500 0.000 0.000
0.000 0.000 0.500
0.000 0.500 0.000
0.500 0.500 0.500
0.000 0.000 0.000
```

**Space group**: Pm-3m
**Crystal system**: cubic
**Fermi-level density of states**: 4.57 states/eV/cell
**Energy above the most stable polymorph in this dataset**: 402 meV per atom